(1)
The following is a DFT calculation (GGA-PBE) of crystalline NdErLu at its relaxed geometry.

Computed properties:
magnetic moment	0.00	μB/cell
formation energy from the elements	0.03	eV/atom
distance to the lowest polymorph of the same formula	0	kJ/mol of formula units

a = 3.551 Å, b = 3.551 Å, c = 7.944 Å
α = 102.91°, β = 102.91°, γ = 90.00°
Positions (direct):
Lu: 0.669 0.669 0.338
Nd: 0.001 0.001 0.001
Er: 0.331 0.331 0.661

(2)
The following is a DFT calculation (GGA-PBE) of crystalline SrTlMo2 at its relaxed geometry.

Computed properties:
magnetic moment	0.00	μB/cell
formation energy from the elements	1.42	eV/atom
distance to the lowest polymorph of the same formula	399	kJ/mol of formula units

a = 8.313 Å, b = 8.313 Å, c = 6.515 Å
α = 50.36°, β = 50.36°, γ = 90.00°
Positions (direct):
Sr: 0.500 0.500 0.000
Sr: 0.250 0.750 0.500
Tl: 0.000 0.000 0.000
Tl: 0.750 0.250 0.500
Mo: 0.665 0.125 0.250
Mo: 0.085 0.625 0.250
Mo: 0.375 0.335 0.750
Mo: 0.875 0.915 0.750

(3)
The following is a DFT calculation (GGA-PBE) of crystalline Li2SnAu at its relaxed geometry.

Computed properties:
magnetic moment	0.00	μB/cell
formation energy from the elements	-0.44	eV/atom

a = 3.359 Å, b = 3.359 Å, c = 6.147 Å
α = 90.00°, β = 90.00°, γ = 90.00°
Positions (direct):
Au: 0.500 0.500 0.000
Sn: 0.500 0.500 0.500
Li: 0.000 0.000 0.775
Li: 0.000 0.000 0.225